This record from Alexandria describes Pm3Si12Rh5 after structural relaxation. The functional is PBE-GGA.

Calculated values
SG: No. 230
ΔE_f (raw): -0.140 eV per atom
Volume: 21.37 A^3/atom
Size of the total moment: 0.000 μB per cell
Density: 4.999 g/cm³
Density of states at the Fermi level: 0.862 states/eV/atom

Cell lengths 13.046, 13.046, 13.046 Å; angles 109.47, 109.47, 109.47 degrees
Fractional coordinates of all 80 atoms:
1 Pm 0.125 0.250 0.375
2 Pm 0.125 0.375 0.750
3 Pm 0.250 0.375 0.125
4 Pm 0.250 0.875 0.625
5 Pm 0.375 0.125 0.250
6 Pm 0.375 0.750 0.125
7 Pm 0.625 0.250 0.875
8 Pm 0.625 0.875 0.750
9 Pm 0.750 0.125 0.375
10 Pm 0.750 0.625 0.875
11 Pm 0.875 0.625 0.250
12 Pm 0.875 0.750 0.625
13 Si 0.004 0.695 0.059
14 Si 0.004 0.808 0.944
15 Si 0.056 0.559 0.864
16 Si 0.056 0.996 0.192
17 Si 0.059 0.004 0.695
18 Si 0.059 0.556 0.364
19 Si 0.136 0.692 0.695
20 Si 0.136 0.944 0.441
21 Si 0.192 0.056 0.996
22 Si 0.192 0.636 0.195
23 Si 0.195 0.192 0.636
24 Si 0.195 0.504 0.559
25 Si 0.305 0.864 0.308
26 Si 0.305 0.941 0.996
27 Si 0.308 0.305 0.864
28 Si 0.308 0.504 0.444
29 Si 0.364 0.059 0.556
30 Si 0.364 0.805 0.808
31 Si 0.441 0.136 0.944
32 Si 0.441 0.805 0.496
33 Si 0.444 0.308 0.504
34 Si 0.444 0.636 0.941
35 Si 0.496 0.441 0.805
36 Si 0.496 0.556 0.692
37 Si 0.504 0.444 0.308
38 Si 0.504 0.559 0.195
39 Si 0.556 0.364 0.059
40 Si 0.556 0.692 0.496
41 Si 0.559 0.195 0.504
42 Si 0.559 0.864 0.056
43 Si 0.636 0.195 0.192
44 Si 0.636 0.941 0.444
45 Si 0.692 0.496 0.556
46 Si 0.692 0.695 0.136
47 Si 0.695 0.059 0.004
48 Si 0.695 0.136 0.692
49 Si 0.805 0.496 0.441
50 Si 0.805 0.808 0.364
51 Si 0.808 0.364 0.805
52 Si 0.808 0.944 0.004
53 Si 0.864 0.056 0.559
54 Si 0.864 0.308 0.305
55 Si 0.941 0.444 0.636
56 Si 0.941 0.996 0.305
57 Si 0.944 0.004 0.808
58 Si 0.944 0.441 0.136
59 Si 0.996 0.192 0.056
60 Si 0.996 0.305 0.941
61 Rh 0.000 0.000 0.000
62 Rh 0.000 0.000 0.500
63 Rh 0.000 0.500 0.000
64 Rh 0.000 0.500 0.500
65 Rh 0.125 0.750 0.875
66 Rh 0.125 0.875 0.250
67 Rh 0.250 0.125 0.875
68 Rh 0.250 0.625 0.375
69 Rh 0.375 0.250 0.625
70 Rh 0.375 0.625 0.750
71 Rh 0.500 0.000 0.000
72 Rh 0.500 0.000 0.500
73 Rh 0.500 0.500 0.000
74 Rh 0.500 0.500 0.500
75 Rh 0.625 0.375 0.250
76 Rh 0.625 0.750 0.375
77 Rh 0.750 0.375 0.625
78 Rh 0.750 0.875 0.125
79 Rh 0.875 0.125 0.750
80 Rh 0.875 0.250 0.125



This record from Alexandria describes AlN3O after structural relaxation. The functional is PBE-GGA.

Calculated values
SG: No. 221
ΔE_f (raw): 2.158 eV per atom
Volume: 8.18 A^3/atom
Size of the total moment: 0.000 μB per cell
Density: 3.452 g/cm³
Density of states at the Fermi level: 0.351 states/eV/atom

Cell lengths 3.445, 3.445, 3.445 Å; angles 90.00, 90.00, 90.00 degrees
Fractional coordinates of all 5 atoms:
1 Al 0.000 0.000 0.000
2 N 0.000 0.500 0.500
3 N 0.500 0.000 0.500
4 N 0.500 0.500 0.000
5 O 0.500 0.500 0.500



This record from Alexandria describes HgBiSb2 after structural relaxation. The functional is PBE-GGA.

Calculated values
ΔE to the lowest computed polymorph: 1 meV/atom
SG: No. 166
ΔE_f (raw): 0.108 eV per atom
Volume: 30.03 A^3/atom
Size of the total moment: 0.000 μB per cell
Density: 9.028 g/cm³
Density of states at the Fermi level: 0.608 states/eV/atom

Cell lengths 7.491, 7.491, 7.491 Å; angles 34.47, 34.47, 34.47 degrees
Fractional coordinates of all 4 atoms:
1 Hg 0.000 0.000 0.000
2 Bi 0.500 0.500 0.500
3 Sb 0.256 0.256 0.256
4 Sb 0.744 0.744 0.744



This record from Alexandria describes CuNi4Au after structural relaxation. The functional is PBE-GGA.

Calculated values
Formation energy: 0.116 eV/atom
SG: No. 216
Volume: 12.41 A^3/atom
Size of the total moment: 0.000 μB per cell
Density: 11.049 g/cm³
Density of states at the Fermi level: 0.445 states/eV/atom

Cell lengths 4.722, 4.722, 4.722 Å; angles 60.00, 60.00, 60.00 degrees
Fractional coordinates of all 6 atoms:
1 Cu 0.000 0.000 0.000
2 Ni 0.124 0.625 0.625
3 Ni 0.625 0.124 0.625
4 Ni 0.625 0.625 0.124
5 Ni 0.625 0.625 0.625
6 Au 0.250 0.250 0.250



This record from Alexandria describes Ba2ZnCu after structural relaxation. The functional is PBE-GGA.

Calculated values
Formation energy: -0.132 eV/atom
SG: No. 160
Volume: 38.00 A^3/atom
Size of the total moment: 0.000 μB per cell
Density: 4.410 g/cm³
Density of states at the Fermi level: 0.558 states/eV/atom

Cell lengths 8.872, 8.872, 8.872 Å; angles 29.72, 29.72, 29.72 degrees
Fractional coordinates of all 4 atoms:
1 Ba 0.000 0.000 0.000
2 Ba 0.170 0.170 0.170
3 Zn 0.419 0.419 0.419
4 Cu 0.752 0.752 0.752



This record from Alexandria describes Ta4FeIr after structural relaxation. The functional is PBE-GGA.

Calculated values
Formation energy: 0.456 eV/atom
SG: No. 216
Volume: 17.67 A^3/atom
Size of the total moment: 2.536 μB per cell
Density: 15.222 g/cm³
Density of states at the Fermi level: 1.151 states/eV/atom

Cell lengths 5.312, 5.312, 5.312 Å; angles 60.00, 60.00, 60.00 degrees
Fractional coordinates of all 6 atoms:
1 Ta 0.125 0.125 0.125
2 Ta 0.125 0.125 0.625
3 Ta 0.125 0.625 0.125
4 Ta 0.625 0.125 0.125
5 Fe 0.500 0.500 0.500
6 Ir 0.750 0.750 0.750